VASP calculation (PBE-GGA) on As2Cl2F after structural relaxation.

Size of the total moment: 0.00 μB per cell
Space group: P4/mbm
Energy relative to the elements, uncorrected: -238 meV per atom
Crystal system: tetragonal
Final energy: -3.211 eV per atom
Energy above the most stable polymorph in this dataset: 97 meV per atom

abc: 6.4685 6.4685 4.4058
angles: 90.00 90.00 90.00
With the nearest neighbours (Å) after each atom.
Atoms (fractional coordinates):
As (0.1399, 0.3601, 0.0000)  2 F 2.50, 1 As 2.56, 2 Cl 2.77
As (0.3601, 0.8601, 0.0000)  2 F 2.50, 1 As 2.56, 2 Cl 2.77
As (0.6399, 0.1399, 0.0000)  2 F 2.50, 1 As 2.56, 2 Cl 2.77
As (0.8601, 0.6399, 0.0000)  2 F 2.50, 1 As 2.56, 2 Cl 2.77
Cl (0.1768, 0.6768, 0.5000)  6 As 2.77-3.02
Cl (0.3232, 0.1768, 0.5000)  6 As 2.77-3.02
Cl (0.6768, 0.8232, 0.5000)  6 As 2.77-3.02
Cl (0.8232, 0.3232, 0.5000)  6 As 2.77-3.02
F (0.0000, 0.0000, 0.0000)  4 As 2.50
F (0.5000, 0.5000, 0.0000)  4 As 2.50


VASP calculation (PBE-GGA) on AsClF2 after structural relaxation.

Size of the total moment: 0.00 μB per cell
Space group: I-42d
Energy relative to the elements, uncorrected: -943 meV per atom
Crystal system: tetragonal
Final energy: -3.503 eV per atom
Energy above the most stable polymorph in this dataset: 715 meV per atom

abc: 7.3927 7.3927 7.3927
angles: 143.31 143.31 52.85
With the nearest neighbours (Å) after each atom.
Atoms (fractional coordinates):
As (0.0000, 0.0000, 0.0000)  4 F 2.03
As (0.7500, 0.2500, 0.5000)  4 F 2.03
Cl (0.2500, 0.7500, 0.5000)  8 F 2.95-3.22, 4 As 3.29
Cl (0.5000, 0.5000, 0.0000)  8 F 2.95-3.22, 4 As 3.29
F (0.3750, 0.0859, 0.2109)  2 As 2.03
F (0.8359, 0.6250, 0.7109)  2 As 2.03
F (0.8750, 0.1641, 0.7891)  2 As 2.03
F (0.9141, 0.1250, 0.2891)  2 As 2.03


VASP calculation (PBE-GGA) on AsCl2F after structural relaxation.

Size of the total moment: 0.00 μB per cell
Space group: P1
Energy relative to the elements, uncorrected: -1182 meV per atom
Crystal system: triclinic
Final energy: -3.735 eV per atom
Energy above the most stable polymorph in this dataset: 0 meV per atom

abc: 4.6889 5.6677 5.8283
angles: 78.67 71.11 79.27
With the nearest neighbours (Å) after each atom.
Atoms (fractional coordinates):
As (0.0000, 0.0000, 0.0000)  1 F 1.80
Cl (0.0566, 0.6040, 0.1080)  1 As 2.20
Cl (0.1899, 0.0211, 0.6005)  1 As 2.19
F (0.6074, 0.0322, 0.0102)  1 As 1.80


VASP calculation (PBE-GGA) on AsCl2F after structural relaxation.

Size of the total moment: 0.00 μB per cell
Space group: I-42d
Energy relative to the elements, uncorrected: -191 meV per atom
Crystal system: tetragonal
Final energy: -2.744 eV per atom
Energy above the most stable polymorph in this dataset: 991 meV per atom

abc: 7.9455 7.9455 7.9455
angles: 141.00 141.00 56.34
With the nearest neighbours (Å) after each atom.
Atoms (fractional coordinates):
As (0.0000, 0.0000, 0.0000)  4 Cl 2.43
As (0.7500, 0.2500, 0.5000)  4 Cl 2.43
Cl (0.0717, 0.6250, 0.9467)  2 As 2.43, 2 F 2.72
Cl (0.3750, 0.3217, 0.4467)  2 As 2.43, 2 F 2.72
Cl (0.6783, 0.1250, 0.0533)  2 As 2.43, 2 F 2.72
Cl (0.8750, 0.9283, 0.5533)  2 As 2.43, 2 F 2.72
F (0.2500, 0.7500, 0.5000)  4 Cl 2.72
F (0.5000, 0.5000, 0.0000)  4 Cl 2.72


What volume values result from the calculations? In sequence: 18.43, 17.92, 35.61, 24.63 Å³ per atom.